(w)
This record from the Alexandria database describes an optimized crystal structure of SrAs2AuBr. The functional is PBE-GGA.

Values from the calculation:
**SG**: P4/mmm (123)
**Calculated volume**: 40.42 Å³/atom
**Total moment**: 0.4273 μB/atom

```
data_SrAs2AuBr
_space_group_name_H-M_alt 'P 1'
_space_group_IT_number 1
_cell_length_a 5.976
_cell_length_b 5.976
_cell_length_c 5.659
_cell_angle_alpha 90.00
_cell_angle_beta 90.00
_cell_angle_gamma 90.00
loop_
_space_group_symop_operation_xyz
'x,y,z'
loop_
_atom_site_label
_atom_site_fract_x
_atom_site_fract_y
_atom_site_fract_z
Sr1 0.000 0.000 0.000
As1 0.000 0.500 0.000
As2 0.500 0.000 0.000
Au1 0.500 0.500 0.500
Br1 0.000 0.000 0.500
```


(x)
This record from the Alexandria database describes an optimized crystal structure of SrAs2AuBr. The functional is PBE-GGA.

Values from the calculation:
**SG**: P4/mmm (123)
**Calculated volume**: 31.14 Å³/atom
**Total moment**: 0.2085 μB/atom

```
data_SrAs2AuBr
_space_group_name_H-M_alt 'P 1'
_space_group_IT_number 1
_cell_length_a 4.925
_cell_length_b 4.925
_cell_length_c 6.418
_cell_angle_alpha 90.00
_cell_angle_beta 90.00
_cell_angle_gamma 90.00
loop_
_space_group_symop_operation_xyz
'x,y,z'
loop_
_atom_site_label
_atom_site_fract_x
_atom_site_fract_y
_atom_site_fract_z
Sr1 0.000 0.000 0.000
As1 0.000 0.500 0.500
As2 0.500 0.000 0.500
Au1 0.500 0.500 0.500
Br1 0.500 0.500 0.000
```


Which structure is the least stable? The one labeled (w).


(w)
This record from the Alexandria database describes an optimized crystal structure of TiAs2AuBr. The functional is PBE-GGA.

Values from the calculation:
**SG**: P4/mmm (123)
**Calculated volume**: 26.43 Å³/atom
**Total moment**: 0.2542 μB/atom

```
data_TiAs2AuBr
_space_group_name_H-M_alt 'P 1'
_space_group_IT_number 1
_cell_length_a 5.009
_cell_length_b 5.009
_cell_length_c 5.268
_cell_angle_alpha 90.00
_cell_angle_beta 90.00
_cell_angle_gamma 90.00
loop_
_space_group_symop_operation_xyz
'x,y,z'
loop_
_atom_site_label
_atom_site_fract_x
_atom_site_fract_y
_atom_site_fract_z
Ti1 0.000 0.000 0.000
As1 0.000 0.500 0.500
As2 0.500 0.000 0.500
Au1 0.500 0.500 0.500
Br1 0.500 0.500 0.000
```


(x)
This record from the Alexandria database describes an optimized crystal structure of TiAs2AuBr. The functional is PBE-GGA.

Values from the calculation:
**SG**: P4/mmm (123)
**Calculated volume**: 24.26 Å³/atom
**Total moment**: 0.0000 μB/atom

```
data_TiAs2AuBr
_space_group_name_H-M_alt 'P 1'
_space_group_IT_number 1
_cell_length_a 4.988
_cell_length_b 4.988
_cell_length_c 4.875
_cell_angle_alpha 90.00
_cell_angle_beta 90.00
_cell_angle_gamma 90.00
loop_
_space_group_symop_operation_xyz
'x,y,z'
loop_
_atom_site_label
_atom_site_fract_x
_atom_site_fract_y
_atom_site_fract_z
Ti1 0.000 0.000 0.000
As1 0.000 0.500 0.000
As2 0.500 0.000 0.000
Au1 0.500 0.500 0.500
Br1 0.000 0.000 0.500
```


Which structure is the least stable? The one labeled (w).


(w)
This record from the Alexandria database describes an optimized crystal structure of TlAsAuBr2. The functional is PBE-GGA.

Values from the calculation:
**SG**: P4/mmm (123)
**Calculated volume**: 35.26 Å³/atom
**Total moment**: 0.3157 μB/atom

```
data_TlAsAuBr2
_space_group_name_H-M_alt 'P 1'
_space_group_IT_number 1
_cell_length_a 5.637
_cell_length_b 5.637
_cell_length_c 5.549
_cell_angle_alpha 90.00
_cell_angle_beta 90.00
_cell_angle_gamma 90.00
loop_
_space_group_symop_operation_xyz
'x,y,z'
loop_
_atom_site_label
_atom_site_fract_x
_atom_site_fract_y
_atom_site_fract_z
Tl1 0.000 0.000 0.000
As1 0.000 0.000 0.500
Au1 0.500 0.500 0.500
Br1 0.000 0.500 0.000
Br2 0.500 0.000 0.000
```


(x)
This record from the Alexandria database describes an optimized crystal structure of TlAsAuBr2. The functional is PBE-GGA.

Values from the calculation:
**SG**: P4/mmm (123)
**Calculated volume**: 31.52 Å³/atom
**Total moment**: 0.3547 μB/atom

```
data_TlAsAuBr2
_space_group_name_H-M_alt 'P 1'
_space_group_IT_number 1
_cell_length_a 5.614
_cell_length_b 5.614
_cell_length_c 5.001
_cell_angle_alpha 90.00
_cell_angle_beta 90.00
_cell_angle_gamma 90.00
loop_
_space_group_symop_operation_xyz
'x,y,z'
loop_
_atom_site_label
_atom_site_fract_x
_atom_site_fract_y
_atom_site_fract_z
Tl1 0.000 0.000 0.000
As1 0.500 0.500 0.000
Au1 0.500 0.500 0.500
Br1 0.000 0.500 0.500
Br2 0.500 0.000 0.500
```


Which structure is the least stable? The one labeled (w).


(w)
This record from the Alexandria database describes an optimized crystal structure of YAs2AuBr. The functional is PBE-GGA.

Values from the calculation:
**SG**: P4/mmm (123)
**Calculated volume**: 26.35 Å³/atom
**Total moment**: 0.0000 μB/atom

```
data_YAs2AuBr
_space_group_name_H-M_alt 'P 1'
_space_group_IT_number 1
_cell_length_a 5.054
_cell_length_b 5.054
_cell_length_c 5.158
_cell_angle_alpha 90.00
_cell_angle_beta 90.00
_cell_angle_gamma 90.00
loop_
_space_group_symop_operation_xyz
'x,y,z'
loop_
_atom_site_label
_atom_site_fract_x
_atom_site_fract_y
_atom_site_fract_z
Y1 0.000 0.000 0.000
As1 0.000 0.500 0.500
As2 0.500 0.000 0.500
Au1 0.500 0.500 0.500
Br1 0.500 0.500 0.000
```


(x)
This record from the Alexandria database describes an optimized crystal structure of YAs2AuBr. The functional is PBE-GGA.

Values from the calculation:
**SG**: P4/mmm (123)
**Calculated volume**: 33.24 Å³/atom
**Total moment**: 0.2141 μB/atom

```
data_YAs2AuBr
_space_group_name_H-M_alt 'P 1'
_space_group_IT_number 1
_cell_length_a 5.563
_cell_length_b 5.563
_cell_length_c 5.370
_cell_angle_alpha 90.00
_cell_angle_beta 90.00
_cell_angle_gamma 90.00
loop_
_space_group_symop_operation_xyz
'x,y,z'
loop_
_atom_site_label
_atom_site_fract_x
_atom_site_fract_y
_atom_site_fract_z
Y1 0.000 0.000 0.000
As1 0.000 0.500 0.000
As2 0.500 0.000 0.000
Au1 0.500 0.500 0.500
Br1 0.000 0.000 0.500
```


Which structure is the least stable? The one labeled (x).


(w)
This record from the Alexandria database describes an optimized crystal structure of ZnAs2AuBr. The functional is PBE-GGA.

Values from the calculation:
**SG**: P4/mmm (123)
**Calculated volume**: 27.99 Å³/atom
**Total moment**: 0.2552 μB/atom

```
data_ZnAs2AuBr
_space_group_name_H-M_alt 'P 1'
_space_group_IT_number 1
_cell_length_a 5.079
_cell_length_b 5.079
_cell_length_c 5.425
_cell_angle_alpha 90.00
_cell_angle_beta 90.00
_cell_angle_gamma 90.00
loop_
_space_group_symop_operation_xyz
'x,y,z'
loop_
_atom_site_label
_atom_site_fract_x
_atom_site_fract_y
_atom_site_fract_z
Zn1 0.000 0.000 0.000
As1 0.000 0.500 0.500
As2 0.500 0.000 0.500
Au1 0.500 0.500 0.500
Br1 0.500 0.500 0.000
```


(x)
This record from the Alexandria database describes an optimized crystal structure of ZnAs2AuBr. The functional is PBE-GGA.

Values from the calculation:
**SG**: P4/mmm (123)
**Calculated volume**: 24.14 Å³/atom
**Total moment**: 0.0585 μB/atom

```
data_ZnAs2AuBr
_space_group_name_H-M_alt 'P 1'
_space_group_IT_number 1
_cell_length_a 4.874
_cell_length_b 4.874
_cell_length_c 5.081
_cell_angle_alpha 90.00
_cell_angle_beta 90.00
_cell_angle_gamma 90.00
loop_
_space_group_symop_operation_xyz
'x,y,z'
loop_
_atom_site_label
_atom_site_fract_x
_atom_site_fract_y
_atom_site_fract_z
Zn1 0.000 0.000 0.000
As1 0.000 0.500 0.000
As2 0.500 0.000 0.000
Au1 0.500 0.500 0.500
Br1 0.000 0.000 0.500
```


Which structure is the least stable? The one labeled (w).


(w)
This record from the Alexandria database describes an optimized crystal structure of AsAuC. The functional is PBE-GGA.

Values from the calculation:
**SG**: P1 (1)
**Calculated volume**: 21.10 Å³/atom
**Total moment**: 0.0000 μB/atom

```
data_AsAuC
_space_group_name_H-M_alt 'P 1'
_space_group_IT_number 1
_cell_length_a 3.065
_cell_length_b 4.617
_cell_length_c 4.829
_cell_angle_alpha 105.09
_cell_angle_beta 103.73
_cell_angle_gamma 95.02
loop_
_space_group_symop_operation_xyz
'x,y,z'
loop_
_atom_site_label
_atom_site_fract_x
_atom_site_fract_y
_atom_site_fract_z
As1 0.000 0.000 0.000
Au1 0.218 0.444 0.437
C1 0.405 0.811 0.807
```


(x)
This record from the Alexandria database describes an optimized crystal structure of AsAuC. The functional is PBE-GGA.

Values from the calculation:
**SG**: Cm (8)
**Calculated volume**: 16.68 Å³/atom
**Total moment**: 0.0000 μB/atom

```
data_AsAuC
_space_group_name_H-M_alt 'P 1'
_space_group_IT_number 1
_cell_length_a 3.795
_cell_length_b 3.795
_cell_length_c 4.560
_cell_angle_alpha 114.35
_cell_angle_beta 114.35
_cell_angle_gamma 60.06
loop_
_space_group_symop_operation_xyz
'x,y,z'
loop_
_atom_site_label
_atom_site_fract_x
_atom_site_fract_y
_atom_site_fract_z
As1 0.000 0.000 0.000
Au1 0.443 0.443 0.330
C1 0.844 0.844 0.533
```


(y)
This record from the Alexandria database describes an optimized crystal structure of AsAuC. The functional is PBE-GGA.

Values from the calculation:
**SG**: Imm2 (44)
**Calculated volume**: 16.99 Å³/atom
**Total moment**: 0.0000 μB/atom

```
data_AsAuC
_space_group_name_H-M_alt 'P 1'
_space_group_IT_number 1
_cell_length_a 5.675
_cell_length_b 5.675
_cell_length_c 5.675
_cell_angle_alpha 148.12
_cell_angle_beta 148.00
_cell_angle_gamma 45.80
loop_
_space_group_symop_operation_xyz
'x,y,z'
loop_
_atom_site_label
_atom_site_fract_x
_atom_site_fract_y
_atom_site_fract_z
As1 0.000 0.000 0.000
Au1 0.245 0.245 0.000
C1 0.388 0.888 0.500
```


(z)
This record from the Alexandria database describes an optimized crystal structure of AsAuC. The functional is PBE-GGA.

Values from the calculation:
**SG**: R3m (160)
**Calculated volume**: 15.52 Å³/atom
**Total moment**: 0.0000 μB/atom

```
data_AsAuC
_space_group_name_H-M_alt 'P 1'
_space_group_IT_number 1
_cell_length_a 5.725
_cell_length_b 5.725
_cell_length_c 5.725
_cell_angle_alpha 31.90
_cell_angle_beta 31.90
_cell_angle_gamma 31.90
loop_
_space_group_symop_operation_xyz
'x,y,z'
loop_
_atom_site_label
_atom_site_fract_x
_atom_site_fract_y
_atom_site_fract_z
As1 0.000 0.000 0.000
Au1 0.848 0.848 0.848
C1 0.718 0.718 0.718
```


Which structure is the least stable? The one labeled (x).